Record 1
Compound: Zr2ScReF
Source: the Alexandria database
Functional: GGA-PBEsol
Structure: relaxed

## Properties
- crystal system = tetragonal
- total magnetization (μB/f.u.) = 0.20
- formation energy from raw total energies (eV/atom) = -0.198
- V (Å³ per cell) = 87.0
- ρ (Mg/m³) = 8.26
- calculated total energy (eV per atom) = -8.207

Unit cell a=4.461 b=4.461 c=4.372 alpha=90.00 beta=90.00 gamma=90.00
Atoms (fractional coordinates):
Zr: 0.000 0.500 0.000
Zr: 0.500 0.000 0.000
Sc: 0.000 0.000 0.500
Re: 0.500 0.500 0.500
F: 0.500 0.500 0.000

Record 2
Compound: ReSeF2
Source: the Alexandria database
Functional: GGA-PBEsol
Structure: relaxed

## Properties
- crystal system = tetragonal
- total magnetization (μB/f.u.) = 1.68
- formation energy from raw total energies (eV/atom) = -0.249
- V (Å³ per cell) = 211.5
- ρ (Mg/m³) = 9.52
- calculated total energy (eV per atom) = -5.509

Unit cell a=3.659 b=3.659 c=15.797 alpha=90.00 beta=90.00 gamma=90.00
Atoms (fractional coordinates):
Re: 0.000 0.000 0.000
Re: 0.000 0.500 0.250
Re: 0.500 0.000 0.750
Re: 0.500 0.500 0.500
Se: 0.000 0.000 0.500
Se: 0.000 0.500 0.750
Se: 0.500 0.000 0.250
Se: 0.500 0.500 0.000
F: 0.185 0.250 0.125
F: 0.250 0.685 0.375
F: 0.250 0.815 0.875
F: 0.315 0.250 0.625
F: 0.685 0.750 0.625
F: 0.750 0.185 0.875
F: 0.750 0.315 0.375
F: 0.815 0.750 0.125

Record 3
Compound: Zn2ReSnF
Source: the Alexandria database
Functional: GGA-PBEsol
Structure: relaxed

## Properties
- crystal system = tetragonal
- total magnetization (μB/f.u.) = 0.00
- formation energy from raw total energies (eV/atom) = 0.436
- V (Å³ per cell) = 78.8
- ρ (Mg/m³) = 9.59
- calculated total energy (eV per atom) = -4.100

Unit cell a=4.262 b=4.262 c=4.336 alpha=90.00 beta=90.00 gamma=90.00
Atoms (fractional coordinates):
Zn: 0.000 0.500 0.000
Zn: 0.500 0.000 0.000
Re: 0.000 0.000 0.500
Sn: 0.500 0.500 0.500
F: 0.000 0.000 0.000

Record 4
Compound: Sr2TlReF
Source: the Alexandria database
Functional: GGA-PBEsol
Structure: relaxed

## Properties
- crystal system = tetragonal
- total magnetization (μB/f.u.) = 0.97
- formation energy from raw total energies (eV/atom) = -0.172
- V (Å³ per cell) = 114.7
- ρ (Mg/m³) = 8.46
- calculated total energy (eV per atom) = -4.487

Unit cell a=5.199 b=5.199 c=4.244 alpha=90.00 beta=90.00 gamma=90.00
Atoms (fractional coordinates):
Sr: 0.000 0.500 0.000
Sr: 0.500 0.000 0.000
Tl: 0.000 0.000 0.500
Re: 0.500 0.500 0.500
F: 0.500 0.500 0.000

Record 5
Compound: TaReF3
Source: the Alexandria database
Functional: GGA-PBEsol
Structure: relaxed

## Properties
- crystal system = cubic
- ΔE to the lowest computed polymorph (kcal/mol of atoms) = 14.59
- total magnetization (μB/f.u.) = 2.11
- formation energy from raw total energies (eV/atom) = 0.409
- V (Å³ per cell) = 72.6
- ρ (Mg/m³) = 9.70
- calculated total energy (eV per atom) = -5.924

Unit cell a=4.171 b=4.171 c=4.171 alpha=90.00 beta=90.00 gamma=90.00
Atoms (fractional coordinates):
Ta: 0.000 0.000 0.000
Re: 0.500 0.500 0.500
F: 0.000 0.500 0.500
F: 0.500 0.000 0.500
F: 0.500 0.500 0.000

Record 6
Compound: TaReF3
Source: the Alexandria database
Functional: GGA-PBEsol
Structure: relaxed

## Properties
- crystal system = cubic
- ΔE to the lowest computed polymorph (kcal/mol of atoms) = 0.00
- total magnetization (μB/f.u.) = 3.00
- formation energy from raw total energies (eV/atom) = -0.223
- V (Å³ per cell) = 75.1
- ρ (Mg/m³) = 9.38
- calculated total energy (eV per atom) = -6.556

Unit cell a=4.219 b=4.219 c=4.219 alpha=90.00 beta=90.00 gamma=90.00
Atoms (fractional coordinates):
Ta: 0.000 0.000 0.000
Re: 0.500 0.500 0.500
F: 0.000 0.000 0.500
F: 0.000 0.500 0.000
F: 0.500 0.000 0.000

Record 7
Compound: Ta2ReWF
Source: the Alexandria database
Functional: GGA-PBEsol
Structure: relaxed

## Properties
- crystal system = tetragonal
- total magnetization (μB/f.u.) = 0.00
- formation energy from raw total energies (eV/atom) = 1.646
- V (Å³ per cell) = 110.1
- ρ (Mg/m³) = 11.32
- calculated total energy (eV per atom) = -9.188

Unit cell a=4.844 b=4.844 c=4.692 alpha=90.00 beta=90.00 gamma=90.00
Atoms (fractional coordinates):
Ta: 0.000 0.500 0.000
Ta: 0.500 0.000 0.000
Re: 0.000 0.000 0.000
W: 0.000 0.000 0.500
F: 0.500 0.500 0.500

Record 8
Compound: Re3TcF
Source: the Alexandria database
Functional: GGA-PBEsol
Structure: relaxed

## Properties
- crystal system = cubic
- total magnetization (μB/f.u.) = 3.26
- formation energy from raw total energies (eV/atom) = 2.404
- V (Å³ per cell) = 99.7
- ρ (Mg/m³) = 11.25
- calculated total energy (eV per atom) = -8.234

Unit cell a=4.638 b=4.638 c=4.638 alpha=90.00 beta=90.00 gamma=90.00
Atoms (fractional coordinates):
Re: 0.000 0.000 0.500
Re: 0.000 0.500 0.000
Re: 0.500 0.000 0.000
Tc: 0.000 0.000 0.000
F: 0.500 0.500 0.500